[1]
This record from the Alexandria database describes crystalline RbTlBiS3 at its relaxed geometry. The functional is PBE.

```
data_RbTlBiS3
_chemical_formula_sum 'Rb2 Tl2 Bi2 S6'
_symmetry_space_group_name_H-M 'P 1 21/m 1'
_symmetry_Int_Tables_number 11
_symmetry_space_group_name_Hall '-P 2yb'
_cell_length_a 8.8444
_cell_length_b 4.6625
_cell_length_c 10.1476
_cell_angle_alpha 90.00
_cell_angle_beta 104.04
_cell_angle_gamma 90.00
loop_
_atom_site_label
_atom_site_type_symbol
_atom_site_fract_x
_atom_site_fract_y
_atom_site_fract_z
Rb1 Rb 0.1872 0.2500 0.2161
Tl1 Tl 0.1314 0.2500 0.5980
Bi1 Bi 0.3435 0.7500 0.8749
S1 S 0.1449 0.2500 0.8669
S2 S 0.2022 0.7500 0.5103
S3 S 0.4386 0.7500 0.1341
```

---

[2]
This record from the Alexandria database describes crystalline Rb2TlBiS4 at its relaxed geometry. The functional is PBE.

```
data_Rb2TlBiS4
_chemical_formula_sum 'Rb4 Tl2 Bi2 S8'
_symmetry_space_group_name_H-M 'P m n 21'
_symmetry_Int_Tables_number 31
_symmetry_space_group_name_Hall 'P 2ac -2'
_cell_length_a 9.6474
_cell_length_b 9.1111
_cell_length_c 6.7988
_cell_angle_alpha 90.00
_cell_angle_beta 90.00
_cell_angle_gamma 90.00
loop_
_atom_site_label
_atom_site_type_symbol
_atom_site_fract_x
_atom_site_fract_y
_atom_site_fract_z
Rb1 Rb 0.2450 0.1637 0.0000
Tl1 Tl 0.0000 0.3490 0.5351
Bi1 Bi 0.0000 0.6621 0.0302
S1 S 0.0000 0.3956 0.9240
S2 S 0.0000 0.6181 0.4053
S3 S 0.2285 0.2102 0.4901
```

---

[3]
This record from the Alexandria database describes crystalline Rb2TmBiS4 at its relaxed geometry. The functional is PBE.

```
data_Rb2TmBiS4
_chemical_formula_sum 'Rb2 Tm1 Bi1 S4'
_symmetry_space_group_name_H-M 'P 1 2/m 1'
_symmetry_Int_Tables_number 10
_symmetry_space_group_name_Hall '-P 2y'
_cell_length_a 7.1589
_cell_length_b 4.1031
_cell_length_c 8.0312
_cell_angle_alpha 90.00
_cell_angle_beta 106.99
_cell_angle_gamma 90.00
loop_
_atom_site_label
_atom_site_type_symbol
_atom_site_fract_x
_atom_site_fract_y
_atom_site_fract_z
Rb1 Rb 0.0000 0.0000 0.0000
Rb2 Rb 0.5000 0.5000 0.0000
Tm1 Tm 0.0000 0.5000 0.5000
Bi1 Bi 0.5000 0.0000 0.5000
S1 S 0.2203 0.0000 0.6914
S2 S 0.2562 0.5000 0.3031
```

---

[4]
This record from the Alexandria database describes crystalline Rb3TmBi2S6 at its relaxed geometry. The functional is PBE.

```
data_Rb3TmBi2S6
_chemical_formula_sum 'Rb6 Tm2 Bi4 S12'
_symmetry_space_group_name_H-M 'C 1 2/m 1'
_symmetry_Int_Tables_number 12
_symmetry_space_group_name_Hall '-C 2y'
_cell_length_a 7.1828
_cell_length_b 12.4393
_cell_length_c 8.0498
_cell_angle_alpha 90.00
_cell_angle_beta 107.30
_cell_angle_gamma 90.00
loop_
_atom_site_label
_atom_site_type_symbol
_atom_site_fract_x
_atom_site_fract_y
_atom_site_fract_z
Rb1 Rb 0.0000 0.0000 0.0000
Rb2 Rb 0.0000 0.3301 0.0000
Tm1 Tm 0.0000 0.5000 0.5000
Bi1 Bi 0.0000 0.1663 0.5000
S1 S 0.2259 0.3392 0.6957
S2 S 0.2441 0.0000 0.6966
```

---

[5]
This record from the Alexandria database describes crystalline Rb3Tm3BiS8 at its relaxed geometry. The functional is PBE.

```
data_Rb3Tm3BiS8
_chemical_formula_sum 'Rb9 Tm9 Bi3 S24'
_symmetry_space_group_name_H-M 'R -3 m'
_symmetry_Int_Tables_number 166
_symmetry_space_group_name_Hall '-R 3 2"'
_cell_length_a 7.9910
_cell_length_b 7.9910
_cell_length_c 23.4673
_cell_angle_alpha 90.00
_cell_angle_beta 90.00
_cell_angle_gamma 120.00
loop_
_atom_site_label
_atom_site_type_symbol
_atom_site_fract_x
_atom_site_fract_y
_atom_site_fract_z
Rb1 Rb 0.0000 0.5000 0.0000
Tm1 Tm 0.0000 0.5000 0.5000
Bi1 Bi 0.0000 0.0000 0.5000
S1 S 0.0000 0.0000 0.2291
S2 S 0.0042 0.5021 0.7701
```

---

[6]
This record from the Alexandria database describes crystalline RbUBi2S5 at its relaxed geometry. The functional is PBE.

```
data_RbUBi2S5
_chemical_formula_sum 'Rb2 U2 Bi4 S10'
_symmetry_space_group_name_H-M 'I m m m'
_symmetry_Int_Tables_number 71
_symmetry_space_group_name_Hall '-I 2 2'
_cell_length_a 5.2428
_cell_length_b 7.5059
_cell_length_c 13.4091
_cell_angle_alpha 90.00
_cell_angle_beta 90.00
_cell_angle_gamma 90.00
loop_
_atom_site_label
_atom_site_type_symbol
_atom_site_fract_x
_atom_site_fract_y
_atom_site_fract_z
Rb1 Rb 0.0000 0.0000 0.0000
U1 U 0.0000 0.0000 0.5000
Bi1 Bi 0.0000 0.5000 0.2219
S1 S 0.0000 0.2475 0.3582
S2 S 0.0000 0.5000 0.0000
```

---

[7]
This record from the Alexandria database describes crystalline Rb2UBiS4 at its relaxed geometry. The functional is PBE.

```
data_Rb2UBiS4
_chemical_formula_sum 'Rb4 U2 Bi2 S8'
_symmetry_space_group_name_H-M 'I -4'
_symmetry_Int_Tables_number 82
_symmetry_space_group_name_Hall 'I -4'
_cell_length_a 8.0332
_cell_length_b 8.0332
_cell_length_c 8.7696
_cell_angle_alpha 90.00
_cell_angle_beta 90.00
_cell_angle_gamma 90.00
loop_
_atom_site_label
_atom_site_type_symbol
_atom_site_fract_x
_atom_site_fract_y
_atom_site_fract_z
Rb1 Rb 0.0000 0.0000 0.0000
Rb2 Rb 0.0000 0.5000 0.2500
U1 U 0.0000 0.5000 0.7500
Bi1 Bi 0.0000 0.0000 0.5000
S1 S 0.1671 0.7129 0.5888
```

---

[8]
This record from the Alexandria database describes crystalline Rb3U3BiS8 at its relaxed geometry. The functional is PBE.

```
data_Rb3U3BiS8
_chemical_formula_sum 'Rb9 U9 Bi3 S24'
_symmetry_space_group_name_H-M 'R -3 m'
_symmetry_Int_Tables_number 166
_symmetry_space_group_name_Hall '-R 3 2"'
_cell_length_a 8.1409
_cell_length_b 8.1409
_cell_length_c 23.4773
_cell_angle_alpha 90.00
_cell_angle_beta 90.00
_cell_angle_gamma 120.00
loop_
_atom_site_label
_atom_site_type_symbol
_atom_site_fract_x
_atom_site_fract_y
_atom_site_fract_z
Rb1 Rb 0.0000 0.5000 0.0000
U1 U 0.0000 0.5000 0.5000
Bi1 Bi 0.0000 0.0000 0.5000
S1 S 0.0000 0.0000 0.2305
S2 S 0.0112 0.5056 0.7691
```

---

[9]
This record from the Alexandria database describes crystalline RbUBiS4 at its relaxed geometry. The functional is PBE.

```
data_RbUBiS4
_chemical_formula_sum 'Rb4 U4 Bi4 S16'
_symmetry_space_group_name_H-M 'I m m a'
_symmetry_Int_Tables_number 74
_symmetry_space_group_name_Hall '-I 2b 2'
_cell_length_a 8.4870
_cell_length_b 9.5180
_cell_length_c 10.5450
_cell_angle_alpha 90.00
_cell_angle_beta 90.00
_cell_angle_gamma 90.00
loop_
_atom_site_label
_atom_site_type_symbol
_atom_site_fract_x
_atom_site_fract_y
_atom_site_fract_z
Rb1 Rb 0.0000 0.2500 0.1792
U1 U 0.2500 0.2500 0.7500
Bi1 Bi 0.0000 0.0000 0.5000
S1 S 0.0000 0.0711 0.7626
S2 S 0.2030 0.2500 0.5008
```

---

[10]
This record from the Alexandria database describes crystalline Rb3Y2BiS6 at its relaxed geometry. The functional is PBE.

```
data_Rb3Y2BiS6
_chemical_formula_sum 'Rb6 Y4 Bi2 S12'
_symmetry_space_group_name_H-M 'C 1 2/m 1'
_symmetry_Int_Tables_number 12
_symmetry_space_group_name_Hall '-C 2y'
_cell_length_a 7.1491
_cell_length_b 12.3812
_cell_length_c 8.0430
_cell_angle_alpha 90.00
_cell_angle_beta 107.23
_cell_angle_gamma 90.00
loop_
_atom_site_label
_atom_site_type_symbol
_atom_site_fract_x
_atom_site_fract_y
_atom_site_fract_z
Rb1 Rb 0.0000 0.0000 0.0000
Rb2 Rb 0.0000 0.3356 0.0000
Y1 Y 0.0000 0.1669 0.5000
Bi1 Bi 0.0000 0.5000 0.5000
S1 S 0.2230 0.0000 0.6941
S2 S 0.2358 0.3292 0.6947
```

---

[11]
This record from the Alexandria database describes crystalline Rb3Y3BiS8 at its relaxed geometry. The functional is PBE.

```
data_Rb3Y3BiS8
_chemical_formula_sum 'Rb9 Y9 Bi3 S24'
_symmetry_space_group_name_H-M 'R -3 m'
_symmetry_Int_Tables_number 166
_symmetry_space_group_name_Hall '-R 3 2"'
_cell_length_a 8.0932
_cell_length_b 8.0932
_cell_length_c 23.4971
_cell_angle_alpha 90.00
_cell_angle_beta 90.00
_cell_angle_gamma 120.00
loop_
_atom_site_label
_atom_site_type_symbol
_atom_site_fract_x
_atom_site_fract_y
_atom_site_fract_z
Rb1 Rb 0.0000 0.5000 0.0000
Y1 Y 0.0000 0.5000 0.5000
Bi1 Bi 0.0000 0.0000 0.5000
S1 S 0.0000 0.0000 0.2299
S2 S 0.0003 0.5001 0.2302
```

---

[12]
This record from the Alexandria database describes crystalline RbY2BiS at its relaxed geometry. The functional is PBE.

```
data_RbY2BiS
_chemical_formula_sum 'Rb1 Y2 Bi1 S1'
_symmetry_space_group_name_H-M 'P 4/m m m'
_symmetry_Int_Tables_number 123
_symmetry_space_group_name_Hall '-P 4 2'
_cell_length_a 5.8666
_cell_length_b 5.8666
_cell_length_c 6.1606
_cell_angle_alpha 90.00
_cell_angle_beta 90.00
_cell_angle_gamma 90.00
loop_
_atom_site_label
_atom_site_type_symbol
_atom_site_fract_x
_atom_site_fract_y
_atom_site_fract_z
Rb1 Rb 0.0000 0.0000 0.0000
Y1 Y 0.0000 0.5000 0.5000
Bi1 Bi 0.5000 0.5000 0.5000
S1 S 0.5000 0.5000 0.0000
```

---

[13]
This record from the Alexandria database describes crystalline Rb3YBi2S6 at its relaxed geometry. The functional is PBE.

```
data_Rb3YBi2S6
_chemical_formula_sum 'Rb6 Y2 Bi4 S12'
_symmetry_space_group_name_H-M 'C 1 2/m 1'
_symmetry_Int_Tables_number 12
_symmetry_space_group_name_Hall '-C 2y'
_cell_length_a 7.2143
_cell_length_b 12.4944
_cell_length_c 8.0596
_cell_angle_alpha 90.00
_cell_angle_beta 107.35
_cell_angle_gamma 90.00
loop_
_atom_site_label
_atom_site_type_symbol
_atom_site_fract_x
_atom_site_fract_y
_atom_site_fract_z
Rb1 Rb 0.0000 0.0000 0.0000
Rb2 Rb 0.0000 0.3307 0.0000
Y1 Y 0.0000 0.5000 0.5000
Bi1 Bi 0.0000 0.1664 0.5000
S1 S 0.2282 0.3374 0.6969
S2 S 0.2406 0.0000 0.6977
```

---

[14]
This record from the Alexandria database describes crystalline RbZnBiS2 at its relaxed geometry. The functional is PBE.

```
data_RbZnBiS2
_chemical_formula_sum 'Rb1 Zn1 Bi1 S2'
_symmetry_space_group_name_H-M 'P 4/m m m'
_symmetry_Int_Tables_number 123
_symmetry_space_group_name_Hall '-P 4 2'
_cell_length_a 5.7898
_cell_length_b 5.7898
_cell_length_c 6.5100
_cell_angle_alpha 90.00
_cell_angle_beta 90.00
_cell_angle_gamma 90.00
loop_
_atom_site_label
_atom_site_type_symbol
_atom_site_fract_x
_atom_site_fract_y
_atom_site_fract_z
Rb1 Rb 0.0000 0.0000 0.0000
Zn1 Zn 0.5000 0.5000 0.5000
Bi1 Bi 0.0000 0.0000 0.5000
S1 S 0.0000 0.5000 0.0000
```

---

[15]
This record from the Alexandria database describes crystalline Rb2ZnBiS4 at its relaxed geometry. The functional is PBE.

```
data_Rb2ZnBiS4
_chemical_formula_sum 'Rb4 Zn2 Bi2 S8'
_symmetry_space_group_name_H-M 'I -4 2 m'
_symmetry_Int_Tables_number 121
_symmetry_space_group_name_Hall 'I -4 2'
_cell_length_a 8.1850
_cell_length_b 8.1850
_cell_length_c 6.8254
_cell_angle_alpha 90.00
_cell_angle_beta 90.00
_cell_angle_gamma 90.00
loop_
_atom_site_label
_atom_site_type_symbol
_atom_site_fract_x
_atom_site_fract_y
_atom_site_fract_z
Rb1 Rb 0.0000 0.5000 0.0000
Zn1 Zn 0.0000 0.0000 0.0000
Bi1 Bi 0.0000 0.0000 0.5000
S1 S 0.1603 0.1603 0.7718
```

---

[16]
This record from the Alexandria database describes crystalline Rb3ZrBi3S8 at its relaxed geometry. The functional is PBE.

```
data_Rb3ZrBi3S8
_chemical_formula_sum 'Rb6 Zr2 Bi6 S16'
_symmetry_space_group_name_H-M 'C 1 2/m 1'
_symmetry_Int_Tables_number 12
_symmetry_space_group_name_Hall '-C 2y'
_cell_length_a 14.1104
_cell_length_b 8.1399
_cell_length_c 9.1827
_cell_angle_alpha 90.00
_cell_angle_beta 120.85
_cell_angle_gamma 90.00
loop_
_atom_site_label
_atom_site_type_symbol
_atom_site_fract_x
_atom_site_fract_y
_atom_site_fract_z
Rb1 Rb 0.0000 0.0000 0.0000
Rb2 Rb 0.2500 0.2500 0.0000
Zr1 Zr 0.0000 0.0000 0.5000
Bi1 Bi 0.0000 0.5000 0.5000
Bi2 Bi 0.2500 0.2500 0.5000
S1 S 0.0152 0.2317 0.3142
S2 S 0.2163 0.0000 0.6858
S3 S 0.2340 0.5000 0.7023
```

---

[17]
This record from the Alexandria database describes crystalline Rb2BiSb2 at its relaxed geometry. The functional is PBE.

```
data_Rb2BiSb2
_chemical_formula_sum 'Rb4 Bi2 Sb4'
_symmetry_space_group_name_H-M 'I 4/m m m'
_symmetry_Int_Tables_number 139
_symmetry_space_group_name_Hall '-I 4 2'
_cell_length_a 5.1240
_cell_length_b 5.1240
_cell_length_c 15.1524
_cell_angle_alpha 90.00
_cell_angle_beta 90.00
_cell_angle_gamma 90.00
loop_
_atom_site_label
_atom_site_type_symbol
_atom_site_fract_x
_atom_site_fract_y
_atom_site_fract_z
Rb1 Rb 0.0000 0.5000 0.2500
Bi1 Bi 0.0000 0.0000 0.0000
Sb1 Sb 0.0000 0.0000 0.4113
```

---

[18]
This record from the Alexandria database describes crystalline RbBi2Sb at its relaxed geometry. The functional is PBE.

```
data_RbBi2Sb
_chemical_formula_sum 'Rb4 Bi8 Sb4'
_symmetry_space_group_name_H-M 'I -4 2 d'
_symmetry_Int_Tables_number 122
_symmetry_space_group_name_Hall 'I -4 2bw'
_cell_length_a 9.0518
_cell_length_b 9.0518
_cell_length_c 8.7030
_cell_angle_alpha 90.00
_cell_angle_beta 90.00
_cell_angle_gamma 90.00
loop_
_atom_site_label
_atom_site_type_symbol
_atom_site_fract_x
_atom_site_fract_y
_atom_site_fract_z
Rb1 Rb 0.0000 0.0000 0.0000
Bi1 Bi 0.1679 0.2500 0.6250
Sb1 Sb 0.0000 0.0000 0.5000
```

---

[19]
This record from the Alexandria database describes crystalline RbBiSb at its relaxed geometry. The functional is PBE.

```
data_RbBiSb
_chemical_formula_sum 'Rb1 Bi1 Sb1'
_symmetry_space_group_name_H-M 'P -6 m 2'
_symmetry_Int_Tables_number 187
_symmetry_space_group_name_Hall 'P -6 2'
_cell_length_a 5.2875
_cell_length_b 5.2875
_cell_length_c 5.4961
_cell_angle_alpha 90.00
_cell_angle_beta 90.00
_cell_angle_gamma 120.00
loop_
_atom_site_label
_atom_site_type_symbol
_atom_site_fract_x
_atom_site_fract_y
_atom_site_fract_z
Rb1 Rb 0.0000 0.0000 0.0000
Bi1 Bi 0.6667 0.3333 0.5000
Sb1 Sb 0.3333 0.6667 0.5000
```

---

[20]
This record from the Alexandria database describes crystalline Rb3BiSb at its relaxed geometry. The functional is PBE.

```
data_Rb3BiSb
_chemical_formula_sum 'Rb3 Bi1 Sb1'
_symmetry_space_group_name_H-M 'P m -3 m'
_symmetry_Int_Tables_number 221
_symmetry_space_group_name_Hall '-P 4 2 3'
_cell_length_a 6.9754
_cell_length_b 6.9754
_cell_length_c 6.9754
_cell_angle_alpha 90.00
_cell_angle_beta 90.00
_cell_angle_gamma 90.00
loop_
_atom_site_label
_atom_site_type_symbol
_atom_site_fract_x
_atom_site_fract_y
_atom_site_fract_z
Rb1 Rb 0.0000 0.0000 0.5000
Bi1 Bi 0.5000 0.5000 0.5000
Sb1 Sb 0.0000 0.0000 0.0000
```

---

[21]
This record from the Alexandria database describes crystalline RbBi3Sb at its relaxed geometry. The functional is PBE.

```
data_RbBi3Sb
_chemical_formula_sum 'Rb2 Bi6 Sb2'
_symmetry_space_group_name_H-M 'P 1 m 1'
_symmetry_Int_Tables_number 6
_symmetry_space_group_name_Hall 'P -2y'
_cell_length_a 5.7787
_cell_length_b 7.5231
_cell_length_c 9.7327
_cell_angle_alpha 90.00
_cell_angle_beta 93.52
_cell_angle_gamma 90.00
loop_
_atom_site_label
_atom_site_type_symbol
_atom_site_fract_x
_atom_site_fract_y
_atom_site_fract_z
Rb1 Rb 0.0000 0.0000 0.0000
Rb2 Rb 0.4864 0.5000 0.1762
Bi1 Bi 0.0052 0.2542 0.3800
Bi2 Bi 0.4723 0.2868 0.8080
Bi3 Bi 0.5687 0.0000 0.3266
Bi4 Bi 0.9852 0.5000 0.8400
Sb1 Sb 0.2826 0.0000 0.5715
Sb2 Sb 0.7242 0.5000 0.5690
```

---

[22]
This record from the Alexandria database describes crystalline Rb2BiSb2 at its relaxed geometry. The functional is PBE.

```
data_Rb2BiSb2
_chemical_formula_sum 'Rb4 Bi2 Sb4'
_symmetry_space_group_name_H-M 'P 4/m b m'
_symmetry_Int_Tables_number 127
_symmetry_space_group_name_Hall '-P 4 2ab'
_cell_length_a 8.2207
_cell_length_b 8.2207
_cell_length_c 5.8423
_cell_angle_alpha 90.00
_cell_angle_beta 90.00
_cell_angle_gamma 90.00
loop_
_atom_site_label
_atom_site_type_symbol
_atom_site_fract_x
_atom_site_fract_y
_atom_site_fract_z
Rb1 Rb 0.1782 0.3218 0.0000
Bi1 Bi 0.0000 0.0000 0.5000
Sb1 Sb 0.1230 0.6230 0.5000
```

---

Energy relative to the elements, uncorrected (computed, meV per atom): -477 -608 -1314 -1137 -1513 -698 -857 -1224 -988 -1501 -1514 225 -1140 1223 -664 -945 192 11 -245 105 -58 -301
Total magnetization (computed, μB per formula unit): 0.000 0.000 0.000 0.000 0.000 1.853 3.062 8.003 1.857 0.000 0.000 0.011 0.000 2.214 0.760 0.000 0.000 0.000 0.000 3.000 0.000 0.000